Li2MnW (PBE, relaxed); DOS at the Fermi energy = 2.44 states/eV/cell; magnetic moment = 2.1 μB/cell; offset from the most stable computed form = 105.9 meV/atom; calculated formation energy = 0.4124 eV per atom
1.0
-4.341 1.682 -1.397
-0.681 -2.390 -0.762
-1.794 -1.282 4.030
Li Mn W
2 1 1
direct
0.000 0.042 0.999 Li
0.000 0.458 0.501 Li
0.500 0.250 0.250 Mn
0.500 0.750 0.750 W